Entry 1:
LiTiOF2, PBEsol geometry, DFT SCAN; formation energy (no corrections) = -2.40 eV per atom; raw total energy = -43.73 eV for the cell shown
1.0
3.302 0.000 0.000
0.000 3.302 0.000
0.000 0.000 3.915
Li Ti O F
1 1 1 2
Cartesian
0.000 0.000 0.000 Li
1.651 1.651 1.958 Ti
0.000 0.000 1.958 O
0.000 1.651 0.000 F
1.651 0.000 0.000 F

Entry 2:
Li4VO3F2, PBEsol geometry, DFT SCAN; distance to the lowest polymorph of the same formula = 0 meV per atom; formation energy (no corrections) = -2.72 eV per atom; raw total energy = -159.97 eV for the cell shown
1.0
5.029 0.000 0.000
-0.835 4.980 0.000
-1.794 -2.708 6.787
Li V O F
8 2 6 4
Cartesian
0.000 0.000 0.000 Li
-1.707 -0.276 5.307 Li
-0.662 2.352 1.223 Li
1.632 3.653 0.663 Li
0.765 1.132 4.633 Li
1.680 1.135 1.913 Li
3.149 2.249 3.980 Li
4.100 -0.071 2.568 Li
1.520 -1.121 3.403 V
0.706 -1.461 6.158 V
0.951 1.792 0.164 O
0.027 4.153 1.787 O
0.035 -0.805 4.395 O
1.401 2.951 4.882 O
2.391 0.408 3.657 O
3.344 0.591 0.797 O
-0.130 1.763 2.995 F
-0.971 1.708 5.724 F
2.385 3.053 2.381 F
1.552 0.359 6.428 F

Entry 3:
Li7VO5F, PBEsol geometry, DFT SCAN; distance to the lowest polymorph of the same formula = 0 meV per atom; formation energy (no corrections) = -2.36 eV per atom; raw total energy = -203.94 eV for the cell shown
1.0
5.163 0.000 0.000
-2.127 5.441 0.000
-2.410 -1.824 9.138
Li V O F
14 2 10 2
Cartesian
-1.603 1.845 2.800 Li
-2.310 4.236 3.015 Li
-2.075 0.632 8.527 Li
-3.018 3.069 8.910 Li
-0.556 1.113 4.887 Li
-1.297 3.846 5.382 Li
1.162 1.171 1.419 Li
-0.535 2.447 7.719 Li
1.924 -0.229 3.756 Li
1.183 2.504 4.251 Li
3.645 0.548 0.229 Li
2.702 2.986 0.611 Li
2.937 -0.619 6.123 Li
2.230 1.773 6.338 Li
0.230 3.451 1.884 V
0.396 0.166 7.254 V
-0.592 2.008 1.178 O
-1.212 0.919 6.659 O
-0.891 4.868 1.910 O
-0.560 3.098 3.832 O
-0.443 -0.472 8.829 O
1.069 4.090 0.309 O
1.186 0.519 5.307 O
1.517 -1.250 7.229 O
1.839 2.699 2.479 O
1.218 1.609 7.960 O
-3.098 3.481 5.589 F
3.725 0.136 3.550 F

Entry 4:
LiVO2F, PBEsol geometry, DFT SCAN; formation energy (no corrections) = -2.79 eV per atom; raw total energy = -199.38 eV for the cell shown
1.0
13.494 0.000 0.000
0.000 3.453 0.000
0.000 0.000 4.772
Li V O F
4 4 8 4
Cartesian
2.300 0.863 0.664 Li
4.447 2.589 3.050 Li
9.047 0.863 1.722 Li
11.194 2.589 4.108 Li
1.108 2.589 2.884 V
5.639 0.863 0.498 V
7.855 2.589 4.275 V
12.386 0.863 1.888 V
0.839 0.863 2.113 O
1.437 2.589 4.483 O
5.310 0.863 2.097 O
5.908 2.589 4.499 O
7.587 0.863 0.273 O
8.184 2.589 2.676 O
12.057 0.863 0.290 O
12.655 2.589 2.659 O
2.840 2.589 2.031 F
3.907 0.863 4.417 F
9.587 2.589 0.355 F
10.654 0.863 2.741 F

Entry 5:
Li2VOF5, PBEsol geometry, DFT SCAN; formation energy (no corrections) = -2.93 eV per atom; raw total energy = -72.56 eV for the cell shown
1.0
-2.966 3.133 3.141
2.966 -3.133 3.141
2.966 3.133 -3.141
Li V O F
2 1 1 5
Cartesian
1.481 0.000 0.000 Li
4.450 0.000 0.000 Li
0.000 0.000 3.131 V
0.000 0.000 1.510 O
2.966 1.258 0.167 F
1.229 3.133 0.311 F
1.736 0.000 3.452 F
0.000 1.875 3.308 F
0.000 0.000 5.200 F

Entry 6:
Li4V4O3F9, PBEsol geometry, DFT SCAN; formation energy (no corrections) = -2.97 eV per atom; raw total energy = -189.48 eV for the cell shown
1.0
5.024 0.000 0.000
2.503 4.840 0.000
0.104 2.815 8.408
Li V O F
4 4 3 9
Cartesian
0.000 0.000 0.000 Li
2.463 4.739 6.081 Li
5.146 6.218 4.135 Li
4.921 2.955 1.967 Li
2.473 5.178 2.892 V
2.254 2.049 0.704 V
5.151 6.561 7.149 V
5.150 3.526 4.972 V
0.836 1.129 1.415 O
6.539 4.633 4.391 O
6.676 5.595 7.585 O
1.660 3.733 1.725 F
0.790 1.891 3.962 F
1.001 2.895 6.670 F
3.939 3.245 0.379 F
4.118 4.087 3.313 F
4.327 5.114 5.967 F
3.286 3.389 8.096 F
3.434 1.585 2.421 F
3.430 2.512 5.451 F

Entry 7:
LiV3O5F3, PBEsol geometry, DFT SCAN; distance to the lowest polymorph of the same formula = 0 meV per atom; formation energy (no corrections) = -2.82 eV per atom; raw total energy = -260.92 eV for the cell shown
1.0
4.439 -5.430 0.000
4.439 5.430 0.000
-0.116 0.000 4.966
Li V O F
2 6 10 6
Cartesian
4.381 3.688 2.483 Li
4.439 -3.688 0.000 Li
2.258 0.921 2.335 V
4.219 2.037 4.858 V
2.200 -0.921 4.818 V
6.460 0.847 2.713 V
4.277 -2.037 2.375 V
6.518 -0.847 0.230 V
3.232 3.355 0.630 O
3.302 1.937 3.324 O
3.170 0.698 0.789 O
5.423 3.333 4.331 O
3.112 -0.698 3.271 O
3.360 -1.937 0.841 O
5.494 0.632 4.244 O
3.174 -3.355 3.113 O
5.552 -0.632 1.762 O
5.481 -3.333 1.848 O
1.093 0.554 4.001 F
1.151 -0.554 1.518 F
5.336 2.054 1.687 F
5.277 -2.054 4.170 F
7.586 0.584 0.994 F
7.528 -0.584 3.477 F

Entry 8:
Li2VOF3, PBEsol geometry, DFT SCAN; distance to the lowest polymorph of the same formula = 0 meV per atom; formation energy (no corrections) = -3.01 eV per atom; raw total energy = -240.73 eV for the cell shown
1.0
5.853 0.000 0.000
0.000 5.853 0.000
0.000 0.000 8.341
Li V O F
8 4 4 12
Cartesian
0.035 1.411 0.000 Li
1.401 4.361 1.027 Li
1.411 5.818 6.256 Li
1.491 1.401 3.113 Li
4.361 4.451 7.284 Li
4.442 0.035 2.085 Li
4.451 1.491 5.198 Li
5.818 4.442 4.171 Li
1.519 2.985 6.376 V
2.868 1.519 0.120 V
2.985 4.334 4.291 V
4.334 2.868 2.205 V
1.566 2.824 8.218 O
2.824 4.287 6.133 O
3.029 1.566 1.962 O
4.287 3.029 4.047 O
0.087 4.359 6.237 F
0.150 1.485 6.284 F
1.431 2.988 4.262 F
1.485 5.703 4.198 F
1.494 0.087 8.322 F
2.865 1.431 6.348 F
2.988 4.422 2.177 F
4.359 5.765 4.152 F
4.368 0.150 0.028 F
4.422 2.865 0.092 F
5.703 4.368 2.113 F
5.765 1.494 2.066 F

Entry 9:
Li2VOF4, PBEsol geometry, DFT SCAN; distance to the lowest polymorph of the same formula = 1 meV per atom; formation energy (no corrections) = -3.05 eV per atom; raw total energy = -134.05 eV for the cell shown
1.0
1.778 -4.978 0.000
1.778 4.978 0.000
0.000 0.000 9.989
Li V O F
4 2 2 8
Cartesian
1.778 3.662 5.585 Li
1.778 3.662 9.397 Li
1.778 -3.662 0.591 Li
1.778 -3.662 4.403 Li
1.778 3.134 2.497 V
1.778 -3.134 7.491 V
1.778 2.109 7.491 O
1.778 -2.109 2.497 O
1.778 4.472 1.191 F
1.778 4.472 3.803 F
1.778 1.894 0.957 F
1.778 1.894 4.037 F
1.778 -1.894 5.951 F
1.778 -1.894 9.031 F
1.778 -4.472 6.185 F
1.778 -4.472 8.798 F

Entry 10:
LiV4OF11, PBEsol geometry, DFT SCAN; formation energy (no corrections) = -3.15 eV per atom; raw total energy = -171.07 eV for the cell shown
1.0
5.398 0.000 0.000
0.000 5.086 0.000
-0.572 0.000 7.267
Li V O F
1 4 1 11
Cartesian
0.000 0.000 0.000 Li
-0.124 2.675 1.742 V
2.247 0.083 5.421 V
2.579 0.083 1.845 V
4.950 2.675 5.524 V
0.000 3.097 0.000 O
-0.286 2.113 3.633 F
0.562 4.266 5.079 F
0.876 0.979 1.353 F
1.181 1.636 5.878 F
1.517 3.594 2.247 F
2.413 0.683 3.633 F
2.699 4.582 0.000 F
3.309 3.594 5.019 F
3.645 1.636 1.389 F
3.950 0.979 5.914 F
4.264 4.266 2.188 F

Entry 11:
Li2VOF5, PBEsol geometry, DFT SCAN; formation energy (no corrections) = -2.99 eV per atom; raw total energy = -219.38 eV for the cell shown
1.0
4.859 0.000 0.000
-2.430 4.208 0.000
0.000 0.000 13.120
Li V O F
6 3 3 15
Cartesian
-0.010 0.018 13.117 Li
-2.409 4.208 8.743 Li
2.362 1.384 8.747 Li
2.480 1.353 0.000 Li
2.447 1.471 4.373 Li
2.419 4.190 4.370 Li
-0.023 2.718 10.946 V
-0.064 2.870 6.572 V
0.088 2.829 2.199 V
-0.680 1.569 10.036 O
-0.731 4.013 5.663 O
1.411 2.835 1.290 O
-1.561 2.829 3.382 F
-0.803 1.528 1.251 F
-0.746 1.440 5.640 F
-1.483 2.743 7.764 F
-1.447 2.850 12.122 F
0.685 1.530 3.376 F
-0.810 4.135 1.267 F
0.760 1.442 7.755 F
-0.705 4.140 9.998 F
0.796 1.552 12.137 F
0.687 4.122 3.390 F
0.762 4.036 7.749 F
1.508 2.749 5.625 F
0.801 4.146 12.129 F
1.556 2.843 10.014 F

Entry 12:
Li2VOF3, PBEsol geometry, DFT SCAN; distance to the lowest polymorph of the same formula = 12 meV per atom; formation energy (no corrections) = -3.00 eV per atom; raw total energy = -120.20 eV for the cell shown
1.0
5.817 0.000 0.000
0.000 4.973 0.000
-2.465 0.000 4.774
Li V O F
4 2 2 6
Cartesian
0.000 1.148 0.000 Li
-1.233 3.825 2.387 Li
-0.080 1.205 3.440 Li
1.153 3.769 1.053 Li
2.288 1.099 2.076 V
1.055 3.875 4.463 V
2.479 0.241 0.454 O
1.246 4.732 2.841 O
0.577 2.024 1.545 F
-0.656 2.950 3.932 F
2.039 2.167 3.861 F
3.271 2.806 1.473 F
3.988 0.532 2.976 F
5.221 4.441 0.589 F